(1)
# Ho4Te5Au

Ho4Te5Au after structural relaxation (PBE, the Alexandria database).

Calculated values
Density of states at the Fermi level   6.59 states/eV per cell
Total magnetization   0.247 μB/cell
Formation energy (no corrections)   -1.060 eV/atom

Geometry as CIF:
```
data_Ho4Te5Au
_cell_length_a 9.246
_cell_length_b 9.969
_cell_length_c 7.605
_cell_angle_alpha 90.00
_cell_angle_beta 90.00
_cell_angle_gamma 90.00
_space_group_name_H-M_alt 'P m m n'
_space_group_IT_number 59
loop_
_space_group_symop_operation_xyz
'x,y,z'
'-x,-y,-z'
'-x+1/2,-y+1/2,z'
'x+1/2,y+1/2,-z'
'x+1/2,-y,-z'
'-x+1/2,y,z'
'-x,y+1/2,-z'
'x,-y+1/2,z'
loop_
_atom_site_label
_atom_site_fract_x
_atom_site_fract_y
_atom_site_fract_z
Ho1 0.002 0.250 0.068
Ho2 0.250 0.021 0.526
Te1 0.023 0.549 0.240
Te2 0.250 0.750 0.691
Au1 0.250 0.250 0.297
```

=====

(2)
# Ho5Te4Au

Ho5Te4Au after structural relaxation (PBE, the Alexandria database).

Calculated values
Density of states at the Fermi level   8.77 states/eV per cell
Total magnetization   0.000 μB/cell
Formation energy (no corrections)   -1.198 eV/atom

Geometry as CIF:
```
data_Ho5Te4Au
_cell_length_a 9.661
_cell_length_b 9.661
_cell_length_c 6.116
_cell_angle_alpha 90.00
_cell_angle_beta 90.00
_cell_angle_gamma 90.00
_space_group_name_H-M_alt 'I 4/m'
_space_group_IT_number 87
_space_group_name_Hall '-I 4'
loop_
_atom_site_label
_atom_site_fract_x
_atom_site_fract_y
_atom_site_fract_z
Ho1 0.000 0.000 0.000
Ho2 0.098 0.723 0.500
Te1 0.089 0.692 0.000
Au1 0.000 0.000 0.500
```

=====

(3)
# Ho6Te5Au

Ho6Te5Au after structural relaxation (PBE, the Alexandria database).

Calculated values
Density of states at the Fermi level   7.61 states/eV per cell
Total magnetization   0.000 μB/cell
Formation energy (no corrections)   -1.231 eV/atom

Geometry as CIF:
```
data_Ho6Te5Au
_cell_length_a 7.534
_cell_length_b 12.987
_cell_length_c 7.507
_cell_angle_alpha 90.00
_cell_angle_beta 109.31
_cell_angle_gamma 90.00
_space_group_name_H-M_alt 'C 1 2/m 1'
_space_group_IT_number 12
loop_
_space_group_symop_operation_xyz
'x,y,z'
'-x,-y,-z'
'-x,y,-z'
'x,-y,z'
'x+1/2,y+1/2,z'
'-x+1/2,-y+1/2,-z'
'-x+1/2,y+1/2,-z'
'x+1/2,-y+1/2,z'
loop_
_atom_site_label
_atom_site_fract_x
_atom_site_fract_y
_atom_site_fract_z
Ho1 0.226 0.000 0.259
Ho2 0.230 0.154 0.731
Te1 0.000 0.179 0.000
Te2 0.000 0.336 0.500
Te3 0.000 0.500 0.000
Au1 0.000 0.000 0.500
```

=====

(4)
# Ho2TeAu

Ho2TeAu after structural relaxation (PBE, the Alexandria database).

Calculated values
Density of states at the Fermi level   8.10 states/eV per cell
Total magnetization   0.000 μB/cell
Excess energy over the best structure of this formula in the dataset   0.0 meV per atom
Formation energy (no corrections)   -1.079 eV/atom

Geometry as CIF:
```
data_Ho2TeAu
_cell_length_a 4.035
_cell_length_b 23.525
_cell_length_c 4.469
_cell_angle_alpha 90.00
_cell_angle_beta 90.00
_cell_angle_gamma 90.00
_space_group_name_H-M_alt 'C m c m'
_space_group_IT_number 63
_space_group_name_Hall '-C 2c 2'
loop_
_atom_site_label
_atom_site_fract_x
_atom_site_fract_y
_atom_site_fract_z
Ho1 0.000 0.061 0.250
Ho2 0.000 0.332 0.250
Te1 0.000 0.195 0.250
Au1 0.000 0.457 0.250
```

=====

(5)
# Ho3Te12Au5

Ho3Te12Au5 after structural relaxation (PBE, the Alexandria database).

Calculated values
Density of states at the Fermi level   114.39 states/eV per cell
Total magnetization   0.000 μB/cell
Formation energy (no corrections)   -0.425 eV/atom

Geometry as CIF:
```
data_Ho3Te12Au5
_cell_length_a 17.156
_cell_length_b 17.156
_cell_length_c 17.156
_cell_angle_alpha 90.00
_cell_angle_beta 90.00
_cell_angle_gamma 90.00
_space_group_name_H-M_alt 'I a -3 d'
_space_group_IT_number 230
_space_group_name_Hall '-I 4bd 2c 3'
loop_
_atom_site_label
_atom_site_fract_x
_atom_site_fract_y
_atom_site_fract_z
Ho1 0.000 0.250 0.125
Te1 0.018 0.063 0.652
Au1 0.000 0.000 0.000
Au2 0.000 0.250 0.375
```

=====

(6)
# Ho2TeAu

Ho2TeAu after structural relaxation (PBE, the Alexandria database).

Calculated values
Density of states at the Fermi level   3.18 states/eV per cell
Total magnetization   0.860 μB/cell
Excess energy over the best structure of this formula in the dataset   189.2 meV per atom
Formation energy (no corrections)   -0.890 eV/atom

Geometry as CIF:
```
data_Ho2TeAu
_cell_length_a 3.796
_cell_length_b 3.796
_cell_length_c 6.948
_cell_angle_alpha 90.00
_cell_angle_beta 90.00
_cell_angle_gamma 90.00
_space_group_name_H-M_alt 'P 4/m m m'
_space_group_IT_number 123
_space_group_name_Hall '-P 4 2'
loop_
_atom_site_label
_atom_site_fract_x
_atom_site_fract_y
_atom_site_fract_z
Ho1 0.000 0.000 0.239
Te1 0.500 0.500 0.500
Au1 0.500 0.500 0.000
```

=====

(7)
# Ho2TeAu

Ho2TeAu after structural relaxation (PBE, the Alexandria database).

Calculated values
Density of states at the Fermi level   8.88 states/eV per cell
Total magnetization   0.000 μB/cell
Excess energy over the best structure of this formula in the dataset   38.0 meV per atom
Formation energy (no corrections)   -1.041 eV/atom

Geometry as CIF:
```
data_Ho2TeAu
_cell_length_a 4.1298
_cell_length_b 4.1298
_cell_length_c 22.4424
_cell_angle_alpha 90.00
_cell_angle_beta 90.00
_cell_angle_gamma 120.00
_space_group_name_H-M_alt 'R -3 m'
_space_group_IT_number 166
_space_group_name_Hall '-R 3 2"'
loop_
_atom_site_label
_atom_site_fract_x
_atom_site_fract_y
_atom_site_fract_z
Ho1 0.0000 0.0000 0.2427
Te1 0.0000 0.0000 0.0000
Au1 0.0000 0.0000 0.5000
```

=====

(8)
# Ho4TeAu

Ho4TeAu after structural relaxation (PBE, the Alexandria database).

Calculated values
Density of states at the Fermi level   28.21 states/eV per cell
Total magnetization   0.000 μB/cell
Excess energy over the best structure of this formula in the dataset   0.0 meV per atom
Formation energy (no corrections)   -0.729 eV/atom

Geometry as CIF:
```
data_Ho4TeAu
_cell_length_a 8.360
_cell_length_b 3.927
_cell_length_c 19.670
_cell_angle_alpha 90.00
_cell_angle_beta 90.00
_cell_angle_gamma 90.00
_space_group_name_H-M_alt 'P n m a'
_space_group_IT_number 62
loop_
_space_group_symop_operation_xyz
'x,y,z'
'-x,-y,-z'
'-x+1/2,-y,z+1/2'
'x+1/2,y,-z+1/2'
'x+1/2,-y+1/2,-z+1/2'
'-x+1/2,y+1/2,z+1/2'
'-x,y+1/2,-z'
'x,-y+1/2,z'
loop_
_atom_site_label
_atom_site_fract_x
_atom_site_fract_y
_atom_site_fract_z
Ho1 0.017 0.250 0.218
Ho2 0.022 0.250 0.928
Ho3 0.120 0.250 0.441
Ho4 0.161 0.250 0.654
Te1 0.217 0.750 0.313
Au1 0.245 0.250 0.049
```